# 1
# Fe2TeCl PBE optimized geometry
data_Fe2TeCl
_space_group_name_H-M_alt 'C 1 2/m 1'
_space_group_IT_number 12
_cell_length_a 9.093
_cell_length_b 3.235
_cell_length_c 7.272
_cell_angle_alpha 90.00
_cell_angle_beta 127.16
_cell_angle_gamma 90.00
loop_
_space_group_symop_operation_xyz
'x,y,z'
'-x,-y,-z'
'-x,y,-z'
'x,-y,z'
'x+1/2,y+1/2,z'
'-x+1/2,-y+1/2,-z'
'-x+1/2,y+1/2,-z'
'x+1/2,-y+1/2,z'
loop_
_atom_site_label
_atom_site_type_symbol
_atom_site_fract_x
_atom_site_fract_y
_atom_site_fract_z
_atom_site_occupancy
Fe1 Fe 0.201 0.000 0.344 1
Te1 Te 0.000 0.000 0.500 1
Cl1 Cl 0.000 0.500 0.000 1
# total magnetic moment = 12.26 μB per cell
# E = -43.6 eV per cell

---

# 2
# Sr20P12Br3O48F PBE optimized geometry
data_Sr20P12Br3O48F
_space_group_name_H-M_alt 'P -3'
_space_group_IT_number 147
_cell_length_a 10.0480
_cell_length_b 10.0480
_cell_length_c 14.5183
_cell_angle_alpha 90.00
_cell_angle_beta 90.00
_cell_angle_gamma 120.00
loop_
_space_group_symop_operation_xyz
'x,y,z'
'-x,-y,-z'
'-y,x-y,z'
'y,-x+y,-z'
'-x+y,-x,z'
'x-y,x,-z'
loop_
_atom_site_label
_atom_site_type_symbol
_atom_site_fract_x
_atom_site_fract_y
_atom_site_fract_z
_atom_site_occupancy
Sr1 Sr 0.0035 0.2519 0.3810 1
Sr2 Sr 0.0060 0.2640 0.8748 1
Sr3 Sr 0.3333 0.6667 0.2509 1
Sr4 Sr 0.3333 0.6667 0.4973 1
Sr5 Sr 0.3333 0.6667 0.7481 1
Sr6 Sr 0.3333 0.6667 0.9993 1
P1 P 0.0334 0.4072 0.6256 1
P2 P 0.0347 0.4061 0.1261 1
Br1 Br 0.0000 0.0000 0.0000 1
Br2 Br 0.0000 0.0000 0.2540 1
O1 O 0.0827 0.3444 0.5420 1
O2 O 0.0868 0.3546 0.2133 1
O3 O 0.0893 0.3560 0.0392 1
O4 O 0.0918 0.3671 0.7145 1
O5 O 0.1189 0.5865 0.6181 1
O6 O 0.1230 0.5861 0.1257 1
O7 O 0.1424 0.6596 0.8750 1
O8 O 0.1441 0.6619 0.3742 1
F1 F 0.0000 0.0000 0.5000 1
# total magnetic moment = 0.00 μB per cell
# E = -586.8 eV per cell

---

# 3
# KInFe4 PBE optimized geometry
data_KInFe4
_space_group_name_H-M_alt 'F -4 3 m'
_space_group_IT_number 216
_space_group_name_Hall 'F -4 2 3'
_cell_length_a 7.353
_cell_length_b 7.353
_cell_length_c 7.353
_cell_angle_alpha 90.00
_cell_angle_beta 90.00
_cell_angle_gamma 90.00
loop_
_atom_site_label
_atom_site_type_symbol
_atom_site_fract_x
_atom_site_fract_y
_atom_site_fract_z
_atom_site_occupancy
K1 K 0.000 0.000 0.000 1
In1 In 0.250 0.250 0.250 1
Fe1 Fe 0.125 0.125 0.625 1
# total magnetic moment = 40.51 μB per cell
# E = -136.0 eV per cell
# DFT formation energy = 0.62 eV/atom

---

# 4
# LiTbSm PBE optimized geometry
data_LiTbSm
_space_group_name_H-M_alt 'I 4 m m'
_space_group_IT_number 107
_space_group_name_Hall 'I 4 -2'
_cell_length_a 3.706
_cell_length_b 3.706
_cell_length_c 12.439
_cell_angle_alpha 90.00
_cell_angle_beta 90.00
_cell_angle_gamma 90.00
loop_
_atom_site_label
_atom_site_type_symbol
_atom_site_fract_x
_atom_site_fract_y
_atom_site_fract_z
_atom_site_occupancy
Li1 Li 0.000 0.000 0.000 1
Tb1 Tb 0.000 0.000 0.349 1
Sm1 Sm 0.000 0.000 0.656 1
# total magnetic moment = 0.15 μB per cell
# E = -22.0 eV per cell
# DFT formation energy = 0.09 eV/atom

---

# 5
# Zr6BeTl2 PBE optimized geometry
data_Zr6BeTl2
_space_group_name_H-M_alt 'P -6 2 m'
_space_group_IT_number 189
_space_group_name_Hall 'P -6 -2'
_cell_length_a 8.0187
_cell_length_b 8.0187
_cell_length_c 3.5559
_cell_angle_alpha 90.00
_cell_angle_beta 90.00
_cell_angle_gamma 120.00
loop_
_atom_site_label
_atom_site_type_symbol
_atom_site_fract_x
_atom_site_fract_y
_atom_site_fract_z
_atom_site_occupancy
Zr1 Zr 0.0000 0.3823 0.0000 1
Zr2 Zr 0.0000 0.7619 0.5000 1
Be1 Be 0.0000 0.0000 0.0000 1
Tl1 Tl 0.3333 0.6667 0.5000 1
# total magnetic moment = 0.00 μB per cell
# E = -60.4 eV per cell
# DFT formation energy = -0.07 eV/atom

---

# 6
# CoIr2Se PBE optimized geometry
data_CoIr2Se
_space_group_name_H-M_alt 'P 4/m m m'
_space_group_IT_number 123
_space_group_name_Hall '-P 4 2'
_cell_length_a 2.884
_cell_length_b 2.884
_cell_length_c 6.952
_cell_angle_alpha 90.00
_cell_angle_beta 90.00
_cell_angle_gamma 90.00
loop_
_atom_site_label
_atom_site_type_symbol
_atom_site_fract_x
_atom_site_fract_y
_atom_site_fract_z
_atom_site_occupancy
Co1 Co 0.000 0.000 0.000 1
Ir1 Ir 0.500 0.500 0.237 1
Se1 Se 0.000 0.000 0.500 1
# total magnetic moment = 2.41 μB per cell
# E = -26.8 eV per cell